A relaxed structure of MgBeNi2. Source: Alexandria, functional GGA-PBE.

```
MgBeNi2
1.0
4.621 -1.386 0.000
4.621 1.386 0.000
-1.726 0.000 3.622
Mg Be Ni
1 1 2
direct
0.000 0.000 0.000
0.234 0.234 0.734
0.529 0.529 0.529
0.770 0.770 0.270
```

Results
DFT formation energy: -0.102 eV per atom
Crystal system: monoclinic
Final energy: -17.3 eV/f.u.
SG: No. 8
Fermi-level density of states: 0.3336 states/eV/atom